Record 1
Density functional theory data (GGA-PBE) for PmPrYMg after structural relaxation.

POSCAR file:
```
PmPrYMg
1.0
-1.583 -2.717 -4.671
3.679 -3.264 -2.742
-0.607 -5.598 0.068
Y Mg Pm Pr
1 1 1 1
Direct
0.000 0.000 0.000
0.500 0.500 0.500
0.250 0.250 0.250
0.750 0.750 0.750
```

Properties
Space group: F-43m
E above lowest polymorph in meV per atom: 71
ΔE_f in meV/atom: 32
Crystal system: cubic
Raw total energy in eV/atom: -4.37

---

Record 2
Density functional theory data (GGA-PBE) for Pm3Pr6Y2Mg after structural relaxation.

POSCAR file:
```
Pm3Pr6Y2Mg
1.0
-5.441 -1.198 -3.012
5.338 -2.880 -1.824
-2.168 -7.457 9.117
Pm Mg Pr Y
3 1 6 2
Direct
0.833 0.167 0.500
0.167 0.833 0.500
0.500 0.500 0.500
0.000 0.000 0.000
0.250 0.250 0.753
0.081 0.412 0.246
0.588 0.919 0.754
0.919 0.588 0.754
0.412 0.081 0.246
0.750 0.750 0.247
0.667 0.333 0.000
0.333 0.667 0.000
```

Properties
Space group: C2/m
ΔE_f in meV/atom: 22
Crystal system: monoclinic
Raw total energy in eV/atom: -4.77

---

Record 3
Density functional theory data (GGA-PBE) for PmPr6Y2Mg after structural relaxation.

POSCAR file:
```
PmPr6Y2Mg
1.0
9.628 -1.319 -1.369
1.659 8.483 -2.115
1.659 -2.428 8.398
Pm Pr Y Mg
2 12 4 2
Direct
0.750 0.096 0.904
0.250 0.904 0.096
0.617 0.801 0.014
0.683 0.926 0.485
0.562 0.387 0.748
0.883 0.986 0.199
0.438 0.613 0.252
0.317 0.074 0.515
0.062 0.748 0.387
0.817 0.515 0.074
0.183 0.485 0.926
0.383 0.199 0.986
0.117 0.014 0.801
0.938 0.252 0.613
0.053 0.318 0.239
0.447 0.761 0.682
0.553 0.239 0.318
0.947 0.682 0.761
0.750 0.528 0.472
0.250 0.472 0.528
```

Properties
Space group: C2/c
ΔE_f in meV/atom: 91
Crystal system: monoclinic
Raw total energy in eV/atom: -4.70

---

Record 4
Density functional theory data (GGA-PBE) for Pm2PrYMg after structural relaxation.

POSCAR file:
```
Pm2PrYMg
1.0
5.709 0.000 0.000
0.000 6.133 1.076
0.000 1.526 9.479
Pm Pr Mg Y
4 2 2 2
Direct
0.250 0.248 0.205
0.750 0.752 0.795
0.250 0.014 0.609
0.750 0.986 0.391
0.250 0.646 0.389
0.750 0.354 0.611
0.250 0.417 0.811
0.750 0.583 0.189
0.750 0.170 0.999
0.250 0.830 0.001
```

Properties
Space group: P2_1/m
ΔE_f in meV/atom: 13
Crystal system: monoclinic
Raw total energy in eV/atom: -4.45